1.
Here is an optimized crystal structure of PbWSe4 from Alexandria via LeMat-Bulk. Energies are from PBE.

Total DFT energy (no corrections): -94.91 eV per cell
Total magnetic moment: 3.97 μB per formula unit
Formation energy without anion corrections: 1.15 eV per atom

a = 8.177 Å, b = 8.177 Å, c = 8.177 Å
α = 90.00°, β = 90.00°, γ = 90.00°
Space group F-43m (No. 216)
Inequivalent atoms, fractional coordinates:
Pb1 0.000 0.000 0.000 x4
W1 0.250 0.250 0.250 x4
Se1 0.123 0.123 0.623 x16

2.
Here is an optimized crystal structure of ErSc2Ni from Alexandria via LeMat-Bulk. Energies are from PBE.

Total DFT energy (no corrections): -70.06 eV per cell
Relative energy among the computed polymorphs: 0.181 eV per atom
Total magnetic moment: 0.00 μB per formula unit
Calculated formation energy: -87 meV/atom

a = 3.5827 Å, b = 3.5827 Å, c = 25.3263 Å
α = 90.00°, β = 90.00°, γ = 120.00°
Space group R3m (No. 160, hexagonal axes)
Inequivalent atoms, fractional coordinates:
Er1 0.0000 0.0000 0.0000 x3
Sc1 0.0000 0.0000 0.5565 x3
Sc2 0.0000 0.0000 0.7722 x3
Ni1 0.0000 0.0000 0.1640 x3

3.
Here is an optimized crystal structure of CoSe2N from Alexandria via LeMat-Bulk. Energies are from PBE.

Total DFT energy (no corrections): -60.79 eV per cell
Total magnetic moment: 0.00 μB per formula unit
Formation energy without anion corrections: 0.53 eV per atom

a = 3.6666 Å, b = 3.6666 Å, c = 17.3893 Å
α = 90.00°, β = 90.00°, γ = 120.00°
Space group R-3m (No. 166, hexagonal axes)
Inequivalent atoms, fractional coordinates:
Co1 0.0000 0.0000 0.0000 x3
Se1 0.0000 0.0000 0.3994 x6
N1 0.0000 0.0000 0.5000 x3

4.
Here is an optimized crystal structure of Mg6IrAu from Alexandria via LeMat-Bulk. Energies are from PBE.

Total DFT energy (no corrections): -44.60 eV per cell
Total magnetic moment: 0.00 μB per formula unit
Calculated formation energy: -74 meV/atom

a = 6.140 Å, b = 10.175 Å, c = 6.212 Å
α = 90.00°, β = 112.37°, γ = 90.00°
Space group C2/m (No. 12)
Inequivalent atoms, fractional coordinates:
Mg1 0.241 0.196 0.242 x8
Mg2 0.245 0.000 0.753 x4
Ir1 0.000 0.000 0.000 x2
Au1 0.000 0.500 0.500 x2

5.
Here is an optimized crystal structure of LaYW2 from Alexandria via LeMat-Bulk. Energies are from PBE.

Total DFT energy (no corrections): -104.68 eV per cell
Relative energy among the computed polymorphs: 0.312 eV per atom
Total magnetic moment: 0.00 μB per formula unit
Calculated formation energy: 601 meV/atom

a = 3.2505 Å, b = 3.2505 Å, c = 30.8655 Å
α = 90.00°, β = 90.00°, γ = 120.00°
Space group R3m (No. 160, hexagonal axes)
Inequivalent atoms, fractional coordinates:
La1 0.0000 0.0000 0.0000 x3
Y1 0.0000 0.0000 0.7752 x3
W1 0.0000 0.0000 0.2477 x3
W2 0.0000 0.0000 0.5226 x3

6.
Here is an optimized crystal structure of CoMo2PtPb from Alexandria via LeMat-Bulk. Energies are from PBE.

Total DFT energy (no corrections): -31.58 eV per cell
Total magnetic moment: 4.93 μB per formula unit
Calculated formation energy: 1387 meV/atom

a = 4.867 Å, b = 4.867 Å, c = 4.677 Å
α = 90.00°, β = 90.00°, γ = 90.00°
Space group P4/mmm (No. 123)
Inequivalent atoms, fractional coordinates:
Co1 0.000 0.000 0.000 x1
Mo1 0.000 0.500 0.500 x2
Pt1 0.000 0.000 0.500 x1
Pb1 0.500 0.500 0.000 x1

7.
Here is an optimized crystal structure of Rb2InF7 from Alexandria via LeMat-Bulk. Energies are from PBE.

Total DFT energy (no corrections): -76.61 eV per cell
Total magnetic moment: 2.00 μB per formula unit
Formation energy without anion corrections: -2.05 eV per atom

a = 6.070 Å, b = 6.070 Å, c = 9.724 Å
α = 90.00°, β = 90.00°, γ = 90.00°
Space group I4/mmm (No. 139)
Inequivalent atoms, fractional coordinates:
Rb1 0.000 0.500 0.250 x4
In1 0.000 0.000 0.000 x2
F1 0.000 0.000 0.211 x4
F2 0.000 0.000 0.500 x2
F3 0.245 0.245 0.000 x8

8.
Here is an optimized crystal structure of In3IrCl from Alexandria via LeMat-Bulk. Energies are from PBE.

Total DFT energy (no corrections): -78.89 eV per cell
Relative energy among the computed polymorphs: 0.278 eV per atom
Total magnetic moment: 0.00 μB per formula unit
Formation energy without anion corrections: -0.16 eV per atom

a = 8.103 Å, b = 8.292 Å, c = 7.717 Å
α = 90.00°, β = 90.00°, γ = 90.00°
Space group Pnma (No. 62)
Inequivalent atoms, fractional coordinates:
In1 0.125 0.058 0.159 x8
In2 0.156 0.250 0.729 x4
Ir1 0.073 0.750 0.033 x4
Cl1 0.000 0.000 0.500 x4

9.
Here is an optimized crystal structure of TaOs2Ru from Alexandria via LeMat-Bulk. Energies are from PBE.

Total DFT energy (no corrections): -44.23 eV per cell
Relative energy among the computed polymorphs: 0.000 eV per atom
Total magnetic moment: 0.00 μB per formula unit
Calculated formation energy: -161 meV/atom

a = 3.916 Å, b = 3.916 Å, c = 3.929 Å
α = 90.00°, β = 90.00°, γ = 90.00°
Space group P4/mmm (No. 123)
Inequivalent atoms, fractional coordinates:
Ta1 0.000 0.000 0.000 x1
Os1 0.000 0.500 0.500 x2
Ru1 0.500 0.500 0.000 x1

10.
Here is an optimized crystal structure of MnPt2Au from Alexandria via LeMat-Bulk. Energies are from PBE.

Total DFT energy (no corrections): -50.19 eV per cell
Total magnetic moment: 4.48 μB per formula unit
Calculated formation energy: -142 meV/atom

a = 9.343 Å, b = 2.911 Å, c = 4.813 Å
α = 90.00°, β = 101.92°, γ = 90.00°
Space group Cm (No. 8)
Inequivalent atoms, fractional coordinates:
Mn1 0.000 0.000 0.000 x2
Pt1 0.241 0.500 0.236 x2
Pt2 0.493 0.000 0.489 x2
Au1 0.249 0.000 0.743 x2

11.
Here is an optimized crystal structure of PrEu2Tm from Alexandria via LeMat-Bulk. Energies are from PBE.

Total DFT energy (no corrections): -29.38 eV per cell
Relative energy among the computed polymorphs: 0.010 eV per atom
Total magnetic moment: 15.23 μB per formula unit
Calculated formation energy: 105 meV/atom

a = 3.680 Å, b = 3.680 Å, c = 10.696 Å
α = 90.00°, β = 90.00°, γ = 90.00°
Space group P4/mmm (No. 123)
Inequivalent atoms, fractional coordinates:
Pr1 0.000 0.000 0.000 x1
Eu1 0.500 0.500 0.257 x2
Tm1 0.000 0.000 0.500 x1

12.
Here is an optimized crystal structure of TePb from Alexandria via LeMat-Bulk. Energies are from PBE.

Total DFT energy (no corrections): -28.67 eV per cell
Total magnetic moment: 0.00 μB per formula unit
Formation energy without anion corrections: -0.16 eV per atom

a = 4.051 Å, b = 5.632 Å, c = 11.751 Å
α = 90.00°, β = 90.00°, γ = 90.00°
Space group Imma (No. 74)
Inequivalent atoms, fractional coordinates:
Te1 0.000 0.250 0.114 x4
Pb1 0.000 0.250 0.596 x4

13.
Here is an optimized crystal structure of SbTe2WI from Alexandria via LeMat-Bulk. Energies are from PBE.

Total DFT energy (no corrections): -14.63 eV per cell
Relative energy among the computed polymorphs: 1.630 eV per atom
Total magnetic moment: 3.64 μB per formula unit
Formation energy without anion corrections: 2.06 eV per atom

a = 5.588 Å, b = 5.588 Å, c = 5.628 Å
α = 90.00°, β = 90.00°, γ = 90.00°
Space group P4/mmm (No. 123)
Inequivalent atoms, fractional coordinates:
Sb1 0.000 0.000 0.000 x1
Te1 0.000 0.500 0.500 x2
W1 0.500 0.500 0.000 x1
I1 0.000 0.000 0.500 x1